Entry 1:
Material: Zn2Re
Method: DFT, PBE
State: relaxed

Cell lengths 6.914, 6.937, 2.499 Å; angles 90.00, 90.00, 90.00 degrees
Fractional positions:
1 Zn 0.239 0.239 0.000
2 Zn 0.261 0.739 0.500
3 Zn 0.739 0.261 0.500
4 Zn 0.761 0.761 0.000
5 Re 0.000 0.000 0.500
6 Re 0.500 0.500 0.000

The calculation puts the final energy at -4.434 eV per atom. The energy of formation comes out at 0.56 eV per atom.



Entry 2:
Material: Zn3Re
Method: DFT, PBE
State: relaxed

Cell lengths 9.079, 9.079, 9.079 Å; angles 17.53, 17.53, 17.53 degrees
Fractional positions:
1 Zn 0.000 0.000 0.000
2 Zn 0.250 0.250 0.250
3 Zn 0.750 0.750 0.750
4 Re 0.500 0.500 0.500

The calculation puts the final energy at -3.917 eV per atom. The energy of formation comes out at 0.15 eV per atom.



Entry 3:
Material: Zn3Re
Method: DFT, PBE
State: relaxed

Cell lengths 4.924, 4.924, 4.924 Å; angles 90.00, 90.00, 90.00 degrees
Fractional positions:
1 Zn 0.000 0.250 0.500
2 Zn 0.000 0.750 0.500
3 Zn 0.250 0.500 0.000
4 Zn 0.500 0.000 0.250
5 Zn 0.500 0.000 0.750
6 Zn 0.750 0.500 0.000
7 Re 0.000 0.000 0.000
8 Re 0.500 0.500 0.500

The calculation puts the final energy at -3.581 eV per atom. The energy of formation comes out at 0.49 eV per atom.



Listing relative energy among the computed polymorphs for the structures above in their given order: 0.409 0.054 0.390 eV/atom.